{"formula": "CrFe2HRu", "functional": "PBE", "state": "relaxed", "lattice": [[3.6992, 0.0000, 0.0000], [0.0000, 3.6992, 0.0000], [0.0000, 0.0000, 3.7909]], "species": ["Ru", "Fe", "Fe", "H", "Cr"], "fractional_positions": [[0.0000, 0.0000, 0.5000], [0.0000, 0.5000, 0.0000], [0.5000, 0.0000, 0.0000], [0.0000, 0.0000, 0.0000], [0.5000, 0.5000, 0.5000]], "de_polymorph_kj_per_mol_atoms": 0.00, "dos_ef_per_ev_cell": 4.41}